Compound: AcTlCoO4
Source: Alexandria
Functional: GGA+U
Structure: relaxed

Output
Its total energy is -6.12 eV/atom. Its space-group type is P2_1/m, No. 11.

```
AcTlCoO4
1.0
6.401 0.000 0.000
0.000 5.823 0.000
-1.898 0.000 7.620
Ac Tl Co O
2 2 2 8
direct
0.228 0.250 0.088
0.772 0.750 0.912
0.280 0.250 0.622
0.720 0.750 0.378
0.257 0.750 0.849
0.743 0.250 0.151
0.075 0.508 0.834
0.075 0.992 0.834
0.420 0.750 0.695
0.442 0.750 0.062
0.558 0.250 0.938
0.580 0.250 0.305
0.925 0.008 0.166
0.925 0.492 0.166
```